Entry 1:
This record from Alexandria describes a relaxed structure of HoFeP2. The functional is PBE.

Its energy of formation from the pure elements is 13 kJ/mol of formula units.

abc: 4.0076 4.0076 22.4711
angles: 90.00 90.00 120.00
Space group R-3m (No. 166, hexagonal axes)
Symmetry-distinct sites (fractional):
Ho (0.0000, 0.0000, 0.0000)
Fe (0.0000, 0.0000, 0.5000)
P (0.0000, 0.0000, 0.4025)


Entry 2:
This record from Alexandria describes a relaxed structure of LiGd2Er. The functional is PBE.

Its energy of formation from the pure elements is 64 kJ/mol of formula units.

abc: 7.761 7.761 7.761
angles: 90.00 90.00 90.00
Space group Fm-3m (No. 225)
Symmetry-distinct sites (fractional):
Li (0.000, 0.000, 0.000)
Gd (0.250, 0.250, 0.250)
Er (0.000, 0.000, 0.500)


Entry 3:
This record from Alexandria describes a relaxed structure of BaTm2N. The functional is PBE.

abc: 3.4793 3.4793 29.6808
angles: 90.00 90.00 120.00
Space group R-3m (No. 166, hexagonal axes)
Symmetry-distinct sites (fractional):
Ba (0.0000, 0.0000, 0.0000)
Tm (0.0000, 0.0000, 0.1227)
N (0.0000, 0.0000, 0.5000)


| no. | E_tot (eV per cell) |
| --- | --- |
| 1 | -71.18 |
| 2 | -135.91 |
| 3 | -65.05 |